No. 1
Density functional theory data (PBE-GGA) for crystalline Zr2TiPt2 at its relaxed geometry.

abc: 7.8144 7.8144 3.2033
angles: 90.00 90.00 90.00
Site moments in Bohr magnetons follow the coordinates.
Fractional coordinates of all 10 atoms:
Zr 0.1594 0.3406 0.0000  0.12
Pt 0.3614 0.1386 0.5000  0.02
Zr 0.3406 0.8406 0.0000  0.10
Zr 0.6594 0.1594 0.0000  0.10
Zr 0.8406 0.6594 0.0000  0.12
Ti 0.5000 0.5000 0.0000  1.34
Pt 0.8614 0.3614 0.5000  0.02
Pt 0.6386 0.8614 0.5000  0.02
Ti 0.0000 0.0000 0.0000  1.34
Pt 0.1386 0.6386 0.5000  0.02

Calculated values
distance to the lowest polymorph of the same formula: 0.176 eV per atom
electronic total energy: -8.011 eV per atom
energy of formation from the pure elements: -0.60 eV/atom



No. 2
Density functional theory data (PBE-GGA) for crystalline Zr5TiPt6 at its relaxed geometry.

abc: 4.7060 7.0318 7.9479
angles: 63.74 71.47 89.96
Fractional coordinates of all 12 atoms:
Pt 0.4996 0.2048 0.0001
Zr 0.7398 0.1905 0.6187
Pt 0.7859 0.0514 0.3210
Zr 0.6247 0.6448 0.7100
Ti 0.0000 0.0000 0.0000
Zr 0.0000 0.5000 0.0000
Zr 0.3753 0.3552 0.2900
Pt 0.2138 0.3724 0.6790
Pt 0.7862 0.6276 0.3210
Pt 0.5004 0.7952 0.9999
Zr 0.2602 0.8095 0.3813
Pt 0.2141 0.9486 0.6790

Calculated values
electronic total energy: -8.201 eV per atom
energy of formation from the pure elements: -0.96 eV/atom



No. 3
Density functional theory data (PBE-GGA) for crystalline ZrTi2Pt2 at its relaxed geometry.

abc: 7.6958 7.6958 2.8923
angles: 90.00 90.00 90.00
Fractional coordinates of all 10 atoms:
Ti 0.6546 0.1546 0.0000
Zr 0.5000 0.5000 0.0000
Ti 0.8454 0.6546 0.0000
Ti 0.3454 0.8454 0.0000
Pt 0.6438 0.8562 0.5000
Pt 0.8562 0.3562 0.5000
Pt 0.1438 0.6438 0.5000
Zr 0.0000 0.0000 0.0000
Ti 0.1546 0.3454 0.0000
Pt 0.3562 0.1438 0.5000

Calculated values
distance to the lowest polymorph of the same formula: 0.028 eV per atom
electronic total energy: -8.014 eV per atom
energy of formation from the pure elements: -0.73 eV/atom



No. 4
Density functional theory data (PBE-GGA) for crystalline Zr3Ti5Pt12 at its relaxed geometry.

abc: 13.0459 13.0459 13.0459
angles: 109.47 109.47 109.47
Fractional coordinates of all 80 atoms:
Ti 0.5000 0.0000 0.5000
Pt 0.1375 0.7247 0.5582
Pt 0.4128 0.2753 0.3335
Pt 0.9418 0.3625 0.2753
Pt 0.5872 0.8625 0.4207
Zr 0.6250 0.2500 0.3750
Pt 0.4418 0.7753 0.8625
Ti 0.3750 0.1250 0.7500
Pt 0.2753 0.8625 0.9418
Ti 0.0000 0.5000 0.5000
Zr 0.2500 0.6250 0.8750
Ti 0.1250 0.7500 0.3750
Pt 0.8625 0.2753 0.4418
Pt 0.9128 0.8335 0.7753
Pt 0.1665 0.0793 0.9418
Pt 0.7247 0.5872 0.1665
Pt 0.5582 0.3335 0.9207
Pt 0.5582 0.2247 0.1375
Ti 0.0000 0.5000 0.0000
Pt 0.2753 0.4128 0.8335
Pt 0.7753 0.4418 0.3625
Pt 0.8335 0.9128 0.2753
Ti 0.0000 0.0000 0.5000
Pt 0.0582 0.6375 0.7247
Pt 0.6375 0.0582 0.2247
Pt 0.4418 0.6665 0.0793
Pt 0.2247 0.5582 0.6375
Ti 0.6250 0.7500 0.8750
Pt 0.0793 0.1665 0.4418
Ti 0.5000 0.0000 0.0000
Pt 0.7247 0.1375 0.0582
Pt 0.3335 0.7753 0.4128
Pt 0.3625 0.9418 0.7753
Pt 0.2247 0.6665 0.0872
Pt 0.9207 0.8335 0.5582
Zr 0.2500 0.1250 0.3750
Zr 0.3750 0.7500 0.6250
Pt 0.9418 0.5793 0.1665
Pt 0.4207 0.0582 0.3335
Pt 0.3335 0.5582 0.4207
Pt 0.5793 0.6375 0.4128
Ti 0.5000 0.5000 0.5000
Zr 0.8750 0.1250 0.2500
Pt 0.0582 0.4207 0.8335
Ti 0.0000 0.0000 0.0000
Pt 0.6665 0.4418 0.5793
Pt 0.9207 0.0872 0.8625
Ti 0.7500 0.1250 0.8750
Ti 0.7500 0.6250 0.3750
Ti 0.2500 0.3750 0.6250
Zr 0.7500 0.3750 0.1250
Pt 0.6375 0.5793 0.9128
Zr 0.1250 0.2500 0.8750
Ti 0.8750 0.2500 0.6250
Zr 0.8750 0.7500 0.1250
Ti 0.5000 0.5000 0.0000
Pt 0.0872 0.1665 0.2247
Pt 0.7753 0.3335 0.9128
Pt 0.8335 0.9207 0.0582
Pt 0.5872 0.7247 0.6665
Pt 0.4128 0.1375 0.5793
Zr 0.6250 0.3750 0.7500
Ti 0.6250 0.8750 0.2500
Pt 0.1375 0.4128 0.0793
Ti 0.2500 0.8750 0.1250
Ti 0.3750 0.2500 0.1250
Pt 0.8625 0.5872 0.9207
Ti 0.8750 0.6250 0.7500
Pt 0.1665 0.0872 0.7247
Zr 0.1250 0.8750 0.7500
Zr 0.3750 0.6250 0.2500
Pt 0.3625 0.4207 0.0872
Pt 0.4207 0.3625 0.5872
Pt 0.9128 0.0793 0.6375
Pt 0.0793 0.9128 0.1375
Pt 0.0872 0.9207 0.3625
Pt 0.5793 0.9418 0.6665
Pt 0.6665 0.2247 0.5872
Ti 0.1250 0.3750 0.2500
Zr 0.7500 0.8750 0.6250

Calculated values
electronic total energy: -7.284 eV per atom
energy of formation from the pure elements: -0.40 eV/atom



No. 5
Density functional theory data (PBE-GGA) for crystalline ZrTi5Pt6 at its relaxed geometry.

abc: 4.0394 6.3987 7.8382
angles: 90.00 90.00 71.60
Site moments in Bohr magnetons follow the coordinates.
Fractional coordinates of all 12 atoms:
Ti 0.0000 0.0000 0.5000  0.34
Ti 0.6742 0.6512 0.0000  0.29
Ti 0.3258 0.3488 0.0000  0.29
Ti 0.3336 0.3331 0.5000  0.31
Pt 0.1680 0.6637 0.2559  0.00
Pt 0.1680 0.6637 0.7441  0.00
Pt 0.5000 0.0000 0.2588  0.00
Ti 0.6664 0.6669 0.5000  0.31
Pt 0.5000 0.0000 0.7412  0.00
Pt 0.8320 0.3363 0.2559  0.00
Zr 0.0000 0.0000 0.0000  0.03
Pt 0.8320 0.3363 0.7441  0.00

Calculated values
electronic total energy: -7.922 eV per atom
energy of formation from the pure elements: -0.90 eV/atom



No. 6
Density functional theory data (PBE-GGA) for crystalline ZrTi3Pt at its relaxed geometry.

abc: 4.7952 4.7952 4.7952
angles: 90.00 90.00 90.00
Fractional coordinates of all 5 atoms:
Pt 0.0000 0.0000 0.0000
Zr 0.5000 0.5000 0.5000
Ti 0.0000 0.0000 0.5000
Ti 0.0000 0.5000 0.0000
Ti 0.5000 0.0000 0.0000

Calculated values
distance to the lowest polymorph of the same formula: 0.000 eV per atom
electronic total energy: -7.355 eV per atom
energy of formation from the pure elements: 0.30 eV/atom



No. 7
Density functional theory data (PBE-GGA) for crystalline ZrTiPt3 at its relaxed geometry.

abc: 5.0101 5.7069 6.6603
angles: 110.37 89.98 90.00
Fractional coordinates of all 10 atoms:
Pt 0.0000 0.0000 0.0000
Ti 0.7502 0.7404 0.6237
Zr 0.2500 0.6751 0.1992
Ti 0.2498 0.2596 0.3763
Pt 0.7498 0.4328 0.2504
Pt 0.5000 0.0000 0.0000
Pt 0.7499 0.9919 0.3760
Pt 0.2501 0.0081 0.6240
Pt 0.2502 0.5672 0.7496
Zr 0.7500 0.3249 0.8008

Calculated values
distance to the lowest polymorph of the same formula: 0.000 eV per atom
electronic total energy: -7.668 eV per atom
energy of formation from the pure elements: -0.75 eV/atom



No. 8
Density functional theory data (PBE-GGA) for crystalline Zr3TiPt at its relaxed geometry.

abc: 5.0816 5.0816 5.0816
angles: 90.00 90.00 90.00
Fractional coordinates of all 5 atoms:
Zr 0.5000 0.0000 0.0000
Zr 0.0000 0.0000 0.5000
Pt 0.0000 0.0000 0.0000
Ti 0.5000 0.5000 0.5000
Zr 0.0000 0.5000 0.0000

Calculated values
distance to the lowest polymorph of the same formula: 0.000 eV per atom
electronic total energy: -7.491 eV per atom
energy of formation from the pure elements: 0.42 eV/atom